Density functional theory data (GGA-PBE) for an optimized crystal structure of Hf2ZnAu6.

a = 7.497 Å, b = 13.995 Å, c = 3.287 Å
α = 90.00°, β = 90.00°, γ = 90.00°
Space group Cmmm (No. 65)
Inequivalent atoms, fractional coordinates:
Hf 0.000 0.199 0.000 (multiplicity 4)
Zn 0.000 0.500 0.500 (multiplicity 2)
Au 0.186 0.000 0.000 (multiplicity 4)
Au 0.192 0.344 0.500 (multiplicity 8)

Calculated values
**E_form**: -0.281 eV/atom
**Distance to the lowest polymorph of the same formula**: 145 meV per atom


Density functional theory data (GGA-PBE) for an optimized crystal structure of NaZn2Os.

a = 4.433 Å, b = 4.433 Å, c = 17.193 Å
α = 90.00°, β = 90.00°, γ = 90.00°
Space group I-42d (No. 122)
Inequivalent atoms, fractional coordinates:
Na 0.000 0.000 0.000 (multiplicity 4)
Zn 0.143 0.250 0.625 (multiplicity 8)
Os 0.000 0.000 0.500 (multiplicity 4)

Calculated values
**E_form**: 0.828 eV/atom
**Distance to the lowest polymorph of the same formula**: 402 meV per atom


Density functional theory data (GGA-PBE) for an optimized crystal structure of NaSb2TeI.

a = 5.677 Å, b = 5.677 Å, c = 5.321 Å
α = 90.00°, β = 90.00°, γ = 90.00°
Space group P4/mmm (No. 123)
Inequivalent atoms, fractional coordinates:
Na 0.000 0.000 0.000 (multiplicity 1)
Sb 0.000 0.500 0.000 (multiplicity 2)
Te 0.500 0.500 0.500 (multiplicity 1)
I 0.000 0.000 0.500 (multiplicity 1)

Calculated values
**Distance to the lowest polymorph of the same formula**: 305 meV per atom
**Formation energy (no corrections)**: 628 meV per atom


Density functional theory data (GGA-PBE) for an optimized crystal structure of Ho8Ga2Os.

a = 17.678 Å, b = 5.013 Å, c = 6.681 Å
α = 90.00°, β = 104.77°, γ = 90.00°
Space group C2/m (No. 12)
Inequivalent atoms, fractional coordinates:
Ho 0.024 0.000 0.285 (multiplicity 4)
Ho 0.090 0.500 0.937 (multiplicity 4)
Ho 0.155 0.500 0.460 (multiplicity 4)
Ho 0.204 0.000 0.806 (multiplicity 4)
Ga 0.189 0.000 0.231 (multiplicity 4)
Os 0.000 0.500 0.500 (multiplicity 2)

Calculated values
**E_form**: -0.289 eV/atom
**Distance to the lowest polymorph of the same formula**: 0 meV per atom


Density functional theory data (GGA-PBE) for an optimized crystal structure of Pm3PrSb2.

a = 4.581 Å, b = 4.581 Å, c = 8.843 Å
α = 90.00°, β = 90.00°, γ = 90.00°
Space group P-4m2 (No. 115)
Inequivalent atoms, fractional coordinates:
Pm 0.000 0.000 0.000 (multiplicity 1)
Pm 0.000 0.500 0.644 (multiplicity 2)
Pr 0.500 0.500 0.000 (multiplicity 1)
Sb 0.000 0.500 0.281 (multiplicity 2)

Calculated values
**Distance to the lowest polymorph of the same formula**: 0 meV per atom
**Formation energy (no corrections)**: -818 meV per atom


Density functional theory data (GGA-PBE) for an optimized crystal structure of GaNi4Sn.

a = 8.394 Å, b = 3.404 Å, c = 5.797 Å
α = 90.00°, β = 109.78°, γ = 90.00°
Space group C2/m (No. 12)
Inequivalent atoms, fractional coordinates:
Ga 0.000 0.000 0.000 (multiplicity 2)
Ni 0.164 0.500 0.851 (multiplicity 4)
Ni 0.168 0.500 0.311 (multiplicity 4)
Sn 0.000 0.000 0.500 (multiplicity 2)

Calculated values
**E_form**: -0.172 eV/atom
**Distance to the lowest polymorph of the same formula**: 0 meV per atom


Density functional theory data (GGA-PBE) for an optimized crystal structure of MgRePb.

a = 3.064 Å, b = 3.064 Å, c = 13.535 Å
α = 90.00°, β = 90.00°, γ = 90.00°
Space group I4mm (No. 107)
Inequivalent atoms, fractional coordinates:
Mg 0.000 0.000 0.000 (multiplicity 2)
Re 0.000 0.000 0.632 (multiplicity 2)
Pb 0.000 0.000 0.286 (multiplicity 2)

Calculated values
**E_form**: 0.708 eV/atom
**Distance to the lowest polymorph of the same formula**: 69 meV per atom


Density functional theory data (GGA-PBE) for an optimized crystal structure of V4S9Br4.

a = 10.984 Å, b = 10.984 Å, c = 7.440 Å
α = 90.00°, β = 90.00°, γ = 90.00°
Space group P4/nmm (No. 129, origin choice 2)
Inequivalent atoms, fractional coordinates:
V 0.115 0.115 0.120 (multiplicity 8)
S 0.038 0.250 0.342 (multiplicity 8)
S 0.056 0.750 0.892 (multiplicity 8)
S 0.250 0.250 0.975 (multiplicity 2)
Br 0.051 0.051 0.792 (multiplicity 8)

Calculated values
**Formation energy (no corrections)**: -732 meV per atom


Density functional theory data (GGA-PBE) for an optimized crystal structure of AcPrIn2Se4.

a = 7.693 Å, b = 4.438 Å, c = 8.105 Å
α = 90.00°, β = 108.38°, γ = 90.00°
Space group P2/m (No. 10)
Inequivalent atoms, fractional coordinates:
Ac 0.000 0.000 0.000 (multiplicity 1)
Pr 0.500 0.500 0.000 (multiplicity 1)
In 0.000 0.500 0.500 (multiplicity 1)
In 0.500 0.000 0.500 (multiplicity 1)
Se 0.250 0.500 0.221 (multiplicity 2)
Se 0.270 0.000 0.783 (multiplicity 2)

Calculated values
**Formation energy (no corrections)**: -1308 meV per atom


Density functional theory data (GGA-PBE) for an optimized crystal structure of La8SmMg2.

a = 18.001 Å, b = 5.317 Å, c = 8.455 Å
α = 90.00°, β = 110.02°, γ = 90.00°
Space group C2/m (No. 12)
Inequivalent atoms, fractional coordinates:
La 0.049 0.000 0.234 (multiplicity 4)
La 0.096 0.500 0.962 (multiplicity 4)
La 0.142 0.000 0.694 (multiplicity 4)
La 0.186 0.500 0.443 (multiplicity 4)
Sm 0.000 0.500 0.500 (multiplicity 2)
Mg 0.226 0.000 0.131 (multiplicity 4)

Calculated values
**E_form**: -0.001 eV/atom
**Distance to the lowest polymorph of the same formula**: 0 meV per atom


Density functional theory data (GGA-PBE) for an optimized crystal structure of SiSnPb3.

a = 5.426 Å, b = 5.426 Å, c = 5.426 Å
α = 90.00°, β = 90.00°, γ = 90.00°
Space group Pm-3m (No. 221)
Inequivalent atoms, fractional coordinates:
Si 0.000 0.000 0.000 (multiplicity 1)
Sn 0.500 0.500 0.500 (multiplicity 1)
Pb 0.000 0.000 0.500 (multiplicity 3)

Calculated values
**Distance to the lowest polymorph of the same formula**: 0 meV per atom
**Formation energy (no corrections)**: 471 meV per atom


Density functional theory data (GGA-PBE) for an optimized crystal structure of EuMgGaSi.

a = 7.010 Å, b = 7.010 Å, c = 7.010 Å
α = 90.00°, β = 90.00°, γ = 90.00°
Space group F-43m (No. 216)
Inequivalent atoms, fractional coordinates:
Eu 0.000 0.000 0.000 (multiplicity 4)
Mg 0.000 0.000 0.500 (multiplicity 4)
Ga 0.250 0.250 0.250 (multiplicity 4)
Si 0.250 0.250 0.750 (multiplicity 4)

Calculated values
**Formation energy (no corrections)**: -238 meV per atom


What did the eleventh record say?
Density functional theory data (GGA-PBE) for an optimized crystal structure of SiSnPb3.

a = 5.426 Å, b = 5.426 Å, c = 5.426 Å
α = 90.00°, β = 90.00°, γ = 90.00°
Space group Pm-3m (No. 221)
Inequivalent atoms, fractional coordinates:
Si 0.000 0.000 0.000 (multiplicity 1)
Sn 0.500 0.500 0.500 (multiplicity 1)
Pb 0.000 0.000 0.500 (multiplicity 3)

Calculated values
**Distance to the lowest polymorph of the same formula**: 0 meV per atom
**Formation energy (no corrections)**: 471 meV per atom